## ZrGa2Pd (PBE)

Data for a geometry-optimized ZrGa2Pd structure.

Cell: 4.2248 4.2248 13.5719 Å, 90.00 90.00 120.00°
Fractional coordinates of all 12 atoms:
Zr (0.0000, 0.0000, 0.0000)
Zr (0.3333, 0.6667, 0.6667)
Zr (0.6667, 0.3333, 0.3333)
Ga (0.0000, 0.0000, 0.2269)
Ga (0.0000, 0.0000, 0.7731)
Ga (0.3333, 0.6667, 0.4398)
Ga (0.3333, 0.6667, 0.8936)
Ga (0.6667, 0.3333, 0.1064)
Ga (0.6667, 0.3333, 0.5602)
Pd (0.0000, 0.0000, 0.5000)
Pd (0.3333, 0.6667, 0.1667)
Pd (0.6667, 0.3333, 0.8333)

Summary:
The space-group type is R-3m, No. 166. As for the formation energy from the elements: -221 kJ/mol of formula units.